[1]
BeRh4Se, relaxed, DFT PBE; space-group type = F-43m (216); VASP energy = -5.56 eV/atom; D(E_F) = 7.25 states/eV per cell
1.0
0.000 3.615 3.615
3.615 0.000 3.615
3.615 3.615 0.000
Rh Se Be
4 1 1
direct
0.625 0.625 0.125
0.625 0.625 0.625
0.125 0.625 0.625
0.625 0.125 0.625
0.250 0.250 0.250
0.000 0.000 0.000

***

[2]
MgTl2In, relaxed, DFT PBE; formation enthalpy at 0 K = 0.10 eV/atom; space-group type = I-42d (122); D(E_F) = 4.07 states/eV per cell
1.0
-5.047 -6.643 -1.453
4.227 -4.483 5.809
-2.440 -4.520 4.460
In Tl Mg
2 4 2
direct
0.000 0.000 0.000
0.750 0.250 0.500
0.875 0.863 0.750
0.137 0.625 0.250
0.375 0.387 0.750
0.613 0.125 0.250
0.250 0.750 0.500
0.500 0.500 0.000

***

[3]
Sc3N, relaxed, DFT PBE; space-group type = Pnma (62); ΔE to the lowest computed polymorph = 0.000 eV/atom; D(E_F) = 18.67 states/eV per cell
1.0
-1.917 -2.286 4.544
5.654 0.944 2.860
-2.657 7.653 2.728
Sc N
12 4
direct
0.255 0.753 0.571
0.755 0.747 0.071
0.745 0.247 0.071
0.745 0.247 0.429
0.200 0.001 0.250
0.245 0.253 0.929
0.700 0.499 0.750
0.755 0.747 0.429
0.300 0.501 0.250
0.255 0.753 0.929
0.800 0.999 0.750
0.245 0.253 0.571
0.000 0.000 0.000
0.500 0.500 0.000
0.500 0.500 0.500
0.000 0.000 0.500

***

[4]
Na2InPb3, relaxed, DFT PBE; formation enthalpy at 0 K = -0.11 eV/atom; space-group type = C2/c (15); ΔE to the lowest computed polymorph = 0.000 eV/atom; D(E_F) = 4.82 states/eV per cell
1.0
7.130 0.000 0.000
0.000 5.699 0.931
-3.565 -0.352 8.618
In Pb Na
2 6 4
direct
0.887 0.750 0.000
0.113 0.250 0.000
0.710 0.403 0.663
0.644 0.250 0.000
0.047 0.097 0.337
0.953 0.903 0.663
0.290 0.597 0.337
0.356 0.750 0.000
0.467 0.901 0.676
0.533 0.099 0.324
0.209 0.401 0.676
0.791 0.599 0.324

***

[5]
CsAgSbS2, relaxed, DFT PBE; space-group type = Cmme (67); VASP energy = -3.56 eV/atom; D(E_F) = 4.04 states/eV per cell
1.0
-4.898 0.140 -0.594
-0.989 -3.310 7.381
0.303 9.213 -0.327
Sb Ag S Cs
2 2 4 2
direct
0.500 0.750 0.000
0.500 0.250 0.000
0.000 0.000 0.000
0.000 0.500 0.000
0.343 0.394 0.788
0.657 0.894 0.788
0.343 0.106 0.212
0.657 0.606 0.212
0.827 0.250 0.500
0.173 0.750 0.500

***

[6]
Bi2S8Br, relaxed, DFT PBE; space-group type = C2/m (12); VASP energy = -3.74 eV/atom; D(E_F) = 6.43 states/eV per cell
1.0
-2.880 2.674 -2.987
-8.029 -14.358 -5.115
3.557 8.400 8.170
Bi S Br
2 8 1
direct
0.259 0.236 0.518
0.741 0.764 0.482
0.791 0.445 0.170
0.351 0.972 0.703
0.649 0.028 0.297
0.621 0.555 0.830
0.138 0.730 0.275
0.379 0.445 0.170
0.209 0.555 0.830
0.862 0.270 0.725
0.000 0.000 0.000

***

[7]
SiB3Br, relaxed, DFT PBE; space-group type = Pm-3m (221); ΔE to the lowest computed polymorph = 0.000 eV/atom; D(E_F) = 1.94 states/eV per cell
1.0
4.174 0.000 0.000
0.000 4.174 0.000
0.000 0.000 4.174
B Br Si
3 1 1
direct
0.000 0.000 0.500
0.000 0.500 0.000
0.500 0.000 0.000
0.500 0.500 0.500
0.000 0.000 0.000

***

[8]
ReSeF3, relaxed, DFT PBE; space-group type = Pm-3m (221); ΔE to the lowest computed polymorph = 0.798 eV/atom; D(E_F) = 1.87 states/eV per cell
1.0
4.489 0.000 0.000
0.000 4.489 0.000
0.000 0.000 4.489
F Se Re
3 1 1
direct
0.500 0.000 0.000
0.000 0.500 0.000
0.000 0.000 0.500
0.000 0.000 0.000
0.500 0.500 0.500

***

[9]
BeTeOs2, relaxed, DFT PBE; space-group type = P4/mmm (123); ΔE to the lowest computed polymorph = 0.051 eV/atom; D(E_F) = 2.69 states/eV per cell
1.0
3.082 0.000 0.000
0.000 3.082 0.000
0.000 0.000 6.116
Os Be Te
2 1 1
direct
0.000 0.000 0.970
0.000 0.000 0.530
0.500 0.500 0.750
0.500 0.500 0.250

***

[10]
RbLaSeI2, relaxed, DFT PBE; space-group type = P4/mmm (123); VASP energy = -4.00 eV/atom; D(E_F) = 0.00 states/eV per cell
1.0
-3.625 -4.914 -2.083
-0.611 -2.119 6.063
-4.669 3.173 0.638
La Rb I Se
1 1 2 1
direct
0.000 0.000 0.000
0.500 0.500 0.500
0.000 0.500 0.000
0.500 0.000 0.000
0.000 0.000 0.500

***

[11]
Er2GeSe, relaxed, DFT PBE; space-group type = R-3m (166); ΔE to the lowest computed polymorph = 0.000 eV/atom; D(E_F) = 0.93 states/eV per cell
1.0
4.093 0.000 -0.004
-2.045 3.545 0.004
-2.042 -1.184 6.729
Er Ge Se
2 1 1
direct
0.491 0.245 0.736
0.509 0.755 0.264
0.000 0.500 0.500
0.000 0.000 0.000

***

[12]
PaPdPt4, relaxed, DFT PBE; formation enthalpy at 0 K = -0.71 eV/atom; space-group type = C2/m (12); ΔE to the lowest computed polymorph = 0.067 eV/atom; D(E_F) = 5.76 states/eV per cell
1.0
-5.940 3.583 -2.348
0.723 -4.551 0.343
-2.884 0.103 7.451
Pt Pa Pd
8 2 2
direct
0.742 0.492 0.583
0.258 0.508 0.417
0.742 0.492 0.917
0.742 0.992 0.083
0.258 0.508 0.083
0.258 0.008 0.917
0.742 0.992 0.417
0.258 0.008 0.583
0.000 0.750 0.250
0.000 0.250 0.750
0.500 0.750 0.750
0.500 0.250 0.250

***

[13]
HoPaZnPd, relaxed, DFT PBE; formation enthalpy at 0 K = -0.26 eV/atom; space-group type = F-43m (216); D(E_F) = 5.10 states/eV per cell
1.0
-3.618 -3.417 0.360
0.451 -3.780 3.225
-2.881 -0.163 4.070
Ho Pd Pa Zn
1 1 1 1
direct
0.250 0.250 0.250
0.500 0.500 0.500
0.750 0.750 0.750
0.000 0.000 0.000

***

[14]
Co4SiGe, relaxed, DFT PBE; space-group type = P4/mmm (123); VASP energy = -6.47 eV/atom; D(E_F) = 9.97 states/eV per cell
1.0
3.773 0.000 -0.001
0.000 3.774 -0.002
0.003 0.004 5.386
Ge Co Si
1 4 1
direct
0.501 0.497 0.998
0.001 0.497 0.737
0.501 0.997 0.737
0.001 0.497 0.259
0.501 0.997 0.259
0.001 0.997 0.498

***

[15]
ZrNbGa4, relaxed, DFT PBE; formation enthalpy at 0 K = -0.24 eV/atom; space-group type = Cmmm (65); ΔE to the lowest computed polymorph = 0.079 eV/atom; D(E_F) = 2.25 states/eV per cell
1.0
3.250 -0.071 -0.021
0.743 3.165 -0.021
0.068 0.053 10.283
Ga Nb Zr
4 1 1
direct
0.000 0.000 0.318
0.499 0.499 0.831
0.000 0.000 0.682
0.501 0.501 0.169
0.000 0.000 0.000
0.500 0.500 0.500

***

[16]
Pm2TmH, relaxed, DFT PBE; space-group type = R-3m (166); ΔE to the lowest computed polymorph = 0.000 eV/atom; D(E_F) = 3.17 states/eV per cell
1.0
-0.798 -2.303 -2.721
0.332 -3.603 0.501
-8.369 -2.347 1.987
H Pm Tm
1 2 1
direct
0.000 0.000 0.000
0.722 0.722 0.833
0.278 0.278 0.167
0.500 0.500 0.500

***

[17]
CeSc2Se, relaxed, DFT PBE; space-group type = R3m (160); ΔE to the lowest computed polymorph = 0.000 eV/atom; D(E_F) = 7.45 states/eV per cell
1.0
-1.109 1.738 -2.895
-3.478 0.384 -0.619
-1.500 8.446 3.465
Se Sc Ce
1 2 1
direct
0.666 0.666 0.001
0.064 0.064 0.807
0.269 0.269 0.194
0.500 0.500 0.499

***

[18]
Sr2Cd2Ga, relaxed, DFT PBE; formation enthalpy at 0 K = -0.22 eV/atom; space-group type = P4/mbm (127); ΔE to the lowest computed polymorph = 0.132 eV/atom; D(E_F) = 8.05 states/eV per cell
1.0
7.909 0.000 0.000
0.000 7.909 0.000
0.000 0.000 4.988
Cd Sr Ga
4 4 2
direct
0.129 0.371 0.000
0.871 0.629 0.000
0.629 0.129 0.000
0.371 0.871 0.000
0.320 0.180 0.500
0.820 0.320 0.500
0.680 0.820 0.500
0.180 0.680 0.500
0.500 0.500 0.000
0.000 0.000 0.000

***

[19]
CaPr6DyTm2, relaxed, DFT PBE; formation enthalpy at 0 K = 0.12 eV/atom; space-group type = C2/c (15); D(E_F) = 27.58 states/eV per cell
1.0
-2.512 1.120 -9.396
7.561 -4.541 -1.996
-7.373 -4.856 1.959
Tm Dy Pr Ca
4 2 12 2
direct
0.047 0.305 0.200
0.453 0.800 0.695
0.953 0.695 0.800
0.547 0.200 0.305
0.750 0.591 0.409
0.250 0.409 0.591
0.881 0.294 0.506
0.446 0.246 0.878
0.619 0.494 0.706
0.946 0.878 0.246
0.318 0.987 0.447
0.818 0.447 0.987
0.381 0.506 0.294
0.054 0.122 0.754
0.119 0.706 0.494
0.554 0.754 0.122
0.682 0.013 0.553
0.182 0.553 0.013
0.750 0.028 0.972
0.250 0.972 0.028

***

[20]
Pr3YHo2Tm6, relaxed, DFT PBE; formation enthalpy at 0 K = 0.03 eV/atom; space-group type = C2/m (12); D(E_F) = 16.12 states/eV per cell
1.0
6.176 0.001 -0.003
-3.086 5.350 -0.003
-1.021 -1.768 11.542
Tm Ho Pr Y
6 2 3 1
direct
0.252 0.252 0.754
0.918 0.584 0.754
0.584 0.918 0.754
0.748 0.748 0.246
0.082 0.416 0.246
0.416 0.082 0.246
0.333 0.667 0.000
0.667 0.333 0.000
0.833 0.167 0.500
0.500 0.500 0.500
0.167 0.833 0.500
0.000 0.000 0.000